Run P
DFT (PBE+U) results for a relaxed structure of Nd3MoO6.

a b c (Å): 6.8714 6.8714 6.8714
angles (deg): 92.63 92.63 92.63
Element x y z (fractional)
Nd 0.0617 0.7549 0.5697
Nd 0.2451 0.4303 0.9383
Nd 0.4303 0.9383 0.2451
Nd 0.5697 0.0617 0.7549
Nd 0.7549 0.5697 0.0617
Nd 0.9383 0.2451 0.4303
Mo 0.0000 0.0000 0.0000
Mo 0.5000 0.5000 0.5000
O 0.0381 0.6969 0.9092
O 0.0908 0.9619 0.3031
O 0.1963 0.4344 0.5854
O 0.3031 0.0908 0.9619
O 0.4146 0.8037 0.5656
O 0.4344 0.5854 0.1963
O 0.5656 0.4146 0.8037
O 0.5854 0.1963 0.4344
O 0.6969 0.9092 0.0381
O 0.8037 0.5656 0.4146
O 0.9092 0.0381 0.6969
O 0.9619 0.3031 0.0908

***

Run Q
DFT (PBE+U) results for a relaxed structure of Nd3MoO6.

a b c (Å): 7.4008 7.4008 5.7818
angles (deg): 90.00 90.00 101.46
Element x y z (fractional)
Nd 0.1038 0.8962 0.5000
Nd 0.1752 0.4112 0.5517
Nd 0.4112 0.1752 0.0517
Nd 0.5888 0.8248 0.5517
Nd 0.8248 0.5888 0.0517
Nd 0.8962 0.1038 0.0000
Mo 0.3576 0.6424 0.0603
Mo 0.6424 0.3576 0.5603
O 0.1048 0.6020 0.2431
O 0.1459 0.1720 0.2755
O 0.1720 0.1459 0.7755
O 0.2785 0.7215 0.7322
O 0.3980 0.8952 0.2431
O 0.4878 0.5122 0.3562
O 0.5122 0.4878 0.8562
O 0.6020 0.1048 0.7431
O 0.7215 0.2785 0.2322
O 0.8280 0.8541 0.2755
O 0.8541 0.8280 0.7755
O 0.8952 0.3980 0.7431

***

Going by the computed energies, the most stable comes first: run P, run Q.

***

Run P
DFT (PBE+U) results for a relaxed structure of NdMoO5.

a b c (Å): 7.6630 7.6630 4.6901
angles (deg): 90.00 90.00 90.00
Element x y z (fractional)
Nd 0.2500 0.2500 0.2239
Nd 0.7500 0.7500 0.7761
Mo 0.2500 0.7500 0.5000
Mo 0.7500 0.2500 0.5000
O 0.0580 0.7500 0.7192
O 0.2500 0.2500 0.7272
O 0.2500 0.5580 0.2808
O 0.2500 0.9420 0.2808
O 0.4420 0.7500 0.7192
O 0.5580 0.2500 0.2808
O 0.7500 0.0580 0.7192
O 0.7500 0.4420 0.7192
O 0.7500 0.7500 0.2728
O 0.9420 0.2500 0.2808

***

Run Q
DFT (PBE+U) results for a relaxed structure of NdMoO5.

a b c (Å): 5.6916 5.6916 7.7750
angles (deg): 109.65 109.65 71.06
Element x y z (fractional)
Nd 0.0552 0.9448 0.7500
Nd 0.9448 0.0552 0.2500
Mo 0.5000 0.5000 0.0000
Mo 0.5000 0.5000 0.5000
O 0.2060 0.7794 0.0365
O 0.2206 0.7940 0.4635
O 0.2641 0.2898 0.3883
O 0.2898 0.2641 0.8883
O 0.4315 0.5685 0.7500
O 0.5685 0.4315 0.2500
O 0.7102 0.7359 0.1117
O 0.7359 0.7102 0.6117
O 0.7794 0.2060 0.5365
O 0.7940 0.2206 0.9635

***

Run R
DFT (PBE+U) results for a relaxed structure of NdMoO5.

a b c (Å): 5.4605 12.9829 7.1483
angles (deg): 90.00 116.66 90.00
Element x y z (fractional)
Nd 0.1581 0.0630 0.2831
Nd 0.1581 0.4370 0.7831
Nd 0.8419 0.5630 0.2169
Nd 0.8419 0.9370 0.7169
Mo 0.4101 0.1341 0.8508
Mo 0.4101 0.3659 0.3508
Mo 0.5899 0.6341 0.6492
Mo 0.5899 0.8659 0.1492
O 0.0427 0.5538 0.9854
O 0.0427 0.9462 0.4854
O 0.2065 0.0584 0.9524
O 0.2065 0.4416 0.4524
O 0.2668 0.2422 0.2632
O 0.2668 0.2579 0.7632
O 0.2778 0.6571 0.4253
O 0.2778 0.8429 0.9253
O 0.4872 0.5755 0.8381
O 0.4872 0.9245 0.3381
O 0.5128 0.0755 0.6619
O 0.5128 0.4245 0.1619
O 0.7222 0.1571 0.0747
O 0.7222 0.3429 0.5747
O 0.7332 0.7422 0.2368
O 0.7332 0.7578 0.7368
O 0.7935 0.5584 0.5476
O 0.7935 0.9416 0.0476
O 0.9573 0.0538 0.5146
O 0.9573 0.4462 0.0146

***

Going by the computed energies, the most stable comes first: run R, run Q, run P.

***

Run P
DFT (PBE+U) results for a relaxed structure of Nd3MoO7.

a b c (Å): 6.6878 6.6878 7.7119
angles (deg): 90.00 90.00 108.79
Element x y z (fractional)
Nd 0.0300 0.0300 0.0000
Nd 0.0369 0.4992 0.2564
Nd 0.4992 0.0369 0.7436
Nd 0.5008 0.9631 0.2436
Nd 0.9631 0.5008 0.7564
Nd 0.9700 0.9700 0.5000
Mo 0.4994 0.4994 0.5000
Mo 0.5006 0.5006 0.0000
O 0.1304 0.8696 0.7500
O 0.1358 0.8642 0.2500
O 0.1807 0.4203 0.9758
O 0.1971 0.4443 0.5359
O 0.4203 0.1807 0.0242
O 0.4334 0.5666 0.2500
O 0.4443 0.1971 0.4641
O 0.5557 0.8029 0.9641
O 0.5666 0.4334 0.7500
O 0.5797 0.8193 0.5242
O 0.8029 0.5557 0.0359
O 0.8193 0.5797 0.4758
O 0.8642 0.1358 0.7500
O 0.8696 0.1304 0.2500

***

Run Q
DFT (PBE+U) results for a relaxed structure of Nd3MoO7.

a b c (Å): 7.6521 7.7477 10.9675
angles (deg): 90.00 90.00 90.00
Element x y z (fractional)
Nd 0.0004 0.0425 0.2267
Nd 0.9996 0.5425 0.2733
Nd 0.0006 0.0434 0.7727
Nd 0.2386 0.7062 0.0004
Nd 0.2614 0.2938 0.5004
Nd 0.4994 0.9566 0.2727
Nd 0.5004 0.4575 0.7733
Nd 0.4996 0.9575 0.7267
Nd 0.5006 0.4566 0.2273
Nd 0.7386 0.7938 0.9996
Nd 0.7614 0.2062 0.4996
Nd 0.9994 0.5434 0.7273
Mo 0.2463 0.7515 0.4999
Mo 0.2537 0.2485 0.9999
Mo 0.7463 0.7485 0.5001
Mo 0.7537 0.2515 0.0001
O 0.0034 0.1854 0.9994
O 0.0044 0.2717 0.6328
O 0.0056 0.2700 0.3673
O 0.2114 0.9095 0.3644
O 0.2122 0.9131 0.6336
O 0.2178 0.4483 0.1234
O 0.2179 0.4497 0.8772
O 0.2821 0.5503 0.3772
O 0.2822 0.5517 0.6234
O 0.2878 0.0869 0.1336
O 0.2886 0.0905 0.8644
O 0.4944 0.7300 0.8673
O 0.4956 0.7283 0.1328
O 0.4966 0.8146 0.4994
O 0.5034 0.3146 0.0006
O 0.5044 0.2283 0.3672
O 0.5056 0.2300 0.6327
O 0.7114 0.5905 0.6356
O 0.7122 0.5869 0.3664
O 0.7179 0.0503 0.1228
O 0.7178 0.0517 0.8766
O 0.7822 0.9483 0.3766
O 0.7821 0.9497 0.6228
O 0.7878 0.4131 0.8664
O 0.7886 0.4095 0.1356
O 0.9944 0.7700 0.1327
O 0.9956 0.7717 0.8672
O 0.9966 0.6854 0.5006

***

Going by the computed energies, the most stable comes first: run P, run Q.